Record 1
{"formula": "P2IrPd", "functional": "PBE", "state": "relaxed", "magnetic_moment_mub_per_cell": 0.00, "e_form_ev_per_atom": 0.0507, "energy_ev_per_atom": -6.168, "space_group": "Fm-3m (225)", "e_above_lowest_polymorph_mev_per_atom": 321, "cell": [[0.000, 3.041, 3.041], [3.041, 0.000, 3.041], [3.041, 3.041, 0.000]], "species": ["P", "P", "Ir", "Pd"], "frac_coords": [[0.250, 0.250, 0.250], [0.750, 0.750, 0.750], [0.500, 0.500, 0.500], [0.000, 0.000, 0.000]]}

=====

Record 2
{"formula": "P2IrPd2", "functional": "PBE", "state": "relaxed", "magnetic_moment_mub_per_cell": 0.00, "e_form_ev_per_atom": -0.3793, "energy_ev_per_atom": -6.393, "space_group": "P4/mbm (127)", "cell": [[-3.686, -2.142, -4.163], [-0.583, -5.047, 3.113], [-3.388, 1.702, 2.124]], "species": ["P", "P", "P", "P", "Ir", "Ir", "Pd", "Pd", "Pd", "Pd"], "frac_coords": [[0.370, 0.870, 0.000], [0.870, 0.630, 0.000], [0.630, 0.130, 0.000], [0.130, 0.370, 0.000], [0.000, 0.000, 0.000], [0.500, 0.500, 0.000], [0.261, 0.761, 0.500], [0.761, 0.739, 0.500], [0.739, 0.239, 0.500], [0.239, 0.261, 0.500]]}

=====

Record 3
{"formula": "PIrPd2", "functional": "PBE", "state": "relaxed", "magnetic_moment_mub_per_cell": 0.00, "e_form_ev_per_atom": 0.1726, "energy_ev_per_atom": -5.991, "space_group": "I-42d (122)", "cell": [[3.644, 0.000, 0.000], [0.000, 3.644, 0.000], [1.822, 1.822, 9.283]], "species": ["P", "P", "Ir", "Ir", "Pd", "Pd", "Pd", "Pd"], "frac_coords": [[0.500, 0.500, 0.000], [0.250, 0.750, 0.500], [0.000, 0.000, 0.000], [0.750, 0.250, 0.500], [0.622, 0.125, 0.250], [0.128, 0.625, 0.250], [0.375, 0.378, 0.750], [0.875, 0.872, 0.750]]}

=====

Record 4
{"formula": "PIrPd3", "functional": "PBE", "state": "relaxed", "magnetic_moment_mub_per_cell": 0.00, "e_form_ev_per_atom": 0.4852, "energy_ev_per_atom": -5.485, "space_group": "Pm-3m (221)", "e_above_lowest_polymorph_mev_per_atom": 0, "cell": [[4.410, 0.000, 0.000], [0.000, 4.410, 0.000], [0.000, 0.000, 4.410]], "species": ["P", "Ir", "Pd", "Pd", "Pd"], "frac_coords": [[0.000, 0.000, 0.000], [0.500, 0.500, 0.500], [0.000, 0.500, 0.000], [0.000, 0.000, 0.500], [0.500, 0.000, 0.000]]}

=====

Record 5
{"formula": "Pm2P4Ir3Pd", "functional": "PBE", "state": "relaxed", "magnetic_moment_mub_per_cell": 0.00, "e_form_ev_per_atom": -0.9953, "energy_ev_per_atom": -7.287, "space_group": "P-4m2 (115)", "cell": [[-2.157, -2.724, -2.425], [-0.073, -2.785, 3.193], [-8.135, 3.720, 3.058]], "species": ["Pm", "Pm", "P", "P", "P", "P", "Ir", "Ir", "Ir", "Pd"], "frac_coords": [[0.500, 0.000, 0.241], [0.000, 0.500, 0.759], [0.500, 0.500, 0.000], [0.000, 0.000, 0.000], [0.500, 0.000, 0.639], [0.000, 0.500, 0.361], [0.000, 0.000, 0.500], [0.500, 0.000, 0.889], [0.000, 0.500, 0.111], [0.500, 0.500, 0.500]]}

=====

Record 6
{"formula": "PmP2IrPd2", "functional": "PBE", "state": "relaxed", "magnetic_moment_mub_per_cell": 0.00, "e_form_ev_per_atom": -0.6083, "energy_ev_per_atom": -6.411, "space_group": "I4/mmm (139)", "cell": [[-0.062, 4.071, -0.968], [-2.184, 0.794, 3.480], [6.958, -1.522, 2.199]], "species": ["Pm", "P", "P", "Ir", "Pd", "Pd"], "frac_coords": [[0.500, 0.500, 0.000], [0.837, 0.837, 0.673], [0.163, 0.163, 0.327], [0.000, 0.000, 0.000], [0.250, 0.750, 0.500], [0.750, 0.250, 0.500]]}

=====

Record 7
{"formula": "Pr2P4Ir3Pd", "functional": "PBE", "state": "relaxed", "magnetic_moment_mub_per_cell": 0.00, "e_form_ev_per_atom": -0.9878, "energy_ev_per_atom": -7.285, "space_group": "P-4m2 (115)", "cell": [[-4.225, 0.493, 0.248], [-0.485, -2.403, -3.485], [-0.587, -7.770, 5.438]], "species": ["Pr", "Pr", "P", "P", "P", "P", "Ir", "Ir", "Ir", "Pd"], "frac_coords": [[0.500, 0.000, 0.242], [0.000, 0.500, 0.758], [0.500, 0.500, 0.000], [0.000, 0.000, 0.000], [0.500, 0.000, 0.638], [0.000, 0.500, 0.362], [0.000, 0.000, 0.500], [0.500, 0.000, 0.890], [0.000, 0.500, 0.110], [0.500, 0.500, 0.500]]}

=====

Record 8
{"formula": "PrP2IrPd2", "functional": "PBE", "state": "relaxed", "magnetic_moment_mub_per_cell": 0.17, "e_form_ev_per_atom": 0.0311, "energy_ev_per_atom": -5.777, "space_group": "I4/mmm (139)", "cell": [[-2.701, -1.102, 2.890], [-2.730, -0.954, -2.916], [5.704, -6.860, -0.203]], "species": ["Pr", "P", "P", "Ir", "Pd", "Pd"], "frac_coords": [[0.500, 0.500, 0.000], [0.320, 0.320, 0.640], [0.680, 0.680, 0.360], [0.000, 0.000, 0.000], [0.250, 0.750, 0.500], [0.750, 0.250, 0.500]]}